# 1
WC2 after structural relaxation. Source: the Alexandria database, functional PBE.

## Properties
- Symmetry: Immm (71)
- Total magnetic moment: 0.0 Bohr magnetons per cell
- Energy of formation from the pure elements: 897.5 meV/atom
- DFT total energy: -9.570 eV per atom
- Distance to the lowest polymorph of the same formula: 382 meV/atom
- Calculated volume: 59.7 Å³/cell

POSCAR file:
```
WC2
1.0
2.943 0.000 0.000
0.000 4.428 0.000
0.000 0.000 4.585
W C
2 4
direct
0.000 0.000 0.000
0.500 0.500 0.500
0.000 0.500 0.150
0.000 0.500 0.850
0.500 0.000 0.350
0.500 0.000 0.650
```


# 2
Pm2AgOsO8 after structural relaxation. Source: the Alexandria database, functional PBE.

## Properties
- Symmetry: P-1 (2)
- Total magnetic moment: 0.0 Bohr magnetons per cell
- DFT total energy: -7.036 eV per atom
- E_form (uncorrected): -1.77 eV per atom
- Calculated volume: 158.7 Å³/cell

POSCAR file:
```
Pm2AgOsO8
1.0
4.210 0.000 0.000
0.521 5.382 0.000
0.558 0.789 7.002
Pm Ag Os O
2 1 1 8
direct
0.176 0.011 0.235
0.824 0.989 0.765
0.500 0.500 0.000
0.500 0.500 0.500
0.204 0.773 0.541
0.273 0.850 0.941
0.274 0.276 0.667
0.284 0.436 0.282
0.716 0.564 0.718
0.726 0.724 0.333
0.727 0.150 0.059
0.796 0.227 0.459
```


# 3
TbPm2Nd6Sm3 after structural relaxation. Source: the Alexandria database, functional PBE.

## Properties
- Symmetry: C2/m (12)
- Total magnetic moment: 0.0 Bohr magnetons per cell
- Energy of formation from the pure elements: 12.2 meV/atom
- DFT total energy: -4.729 eV per atom
- Calculated volume: 413.8 Å³/cell

POSCAR file:
```
TbPm2Nd6Sm3
1.0
3.167 -5.486 0.000
3.167 5.486 0.000
-2.119 0.000 11.906
Tb Pm Nd Sm
1 2 6 3
direct
0.000 0.000 0.000
0.333 0.667 0.000
0.667 0.333 0.000
0.083 0.416 0.250
0.249 0.249 0.750
0.416 0.083 0.250
0.584 0.917 0.750
0.751 0.751 0.250
0.917 0.584 0.750
0.166 0.834 0.500
0.500 0.500 0.500
0.834 0.166 0.500
```


# 4
HAuBr after structural relaxation. Source: the Alexandria database, functional PBE.

## Properties
- Symmetry: P1 (1)
- Total magnetic moment: 0.0 Bohr magnetons per cell
- DFT total energy: -2.812 eV per atom
- Distance to the lowest polymorph of the same formula: 39 meV/atom
- Calculated volume: 145.2 Å³/cell

POSCAR file:
```
HAuBr
1.0
3.692 0.000 0.000
1.799 3.987 0.000
0.127 1.537 9.864
H Au Br
2 2 2
direct
0.000 0.000 0.000
0.083 0.852 0.056
0.242 0.499 0.612
0.821 0.349 0.444
0.390 0.219 0.283
0.673 0.629 0.773
```


# 5
LiSnP2O7 after structural relaxation. Source: the Alexandria database, functional PBE.

## Properties
- Symmetry: P-1 (2)
- Total magnetic moment: 0.0 Bohr magnetons per cell
- DFT total energy: -6.345 eV per atom
- Distance to the lowest polymorph of the same formula: 397 meV/atom
- E_form (uncorrected): -1.67 eV per atom
- Calculated volume: 321.5 Å³/cell

POSCAR file:
```
LiSnP2O7
1.0
5.707 0.000 0.000
-2.566 6.523 0.000
-1.707 -2.548 8.635
Li Sn P O
2 2 4 14
direct
0.156 0.383 0.029
0.844 0.617 0.971
0.155 0.829 0.379
0.845 0.171 0.621
0.327 0.371 0.389
0.499 0.114 0.925
0.501 0.886 0.075
0.673 0.629 0.611
0.165 0.155 0.406
0.227 0.715 0.050
0.258 0.426 0.245
0.284 0.190 0.927
0.354 0.558 0.541
0.426 0.923 0.763
0.434 0.019 0.630
0.566 0.981 0.370
0.574 0.077 0.237
0.646 0.442 0.459
0.716 0.810 0.073
0.742 0.574 0.755
0.773 0.285 0.950
0.835 0.845 0.594
```


# 6
CaPmTc2O8 after structural relaxation. Source: the Alexandria database, functional PBE.

## Properties
- Symmetry: I-4 (82)
- Total magnetic moment: 3.0 Bohr magnetons per cell
- DFT total energy: -7.713 eV per atom
- E_form (uncorrected): -2.12 eV per atom
- Calculated volume: 162.0 Å³/cell

POSCAR file:
```
CaPmTc2O8
1.0
-2.642 2.642 5.802
2.642 -2.642 5.802
2.642 2.642 -5.802
Ca Pm Tc O
1 1 2 8
direct
0.000 0.000 0.000
0.750 0.250 0.500
0.250 0.750 0.500
0.500 0.500 0.000
0.013 0.922 0.596
0.078 0.674 0.091
0.166 0.265 0.596
0.326 0.417 0.404
0.430 0.834 0.099
0.583 0.987 0.909
0.669 0.570 0.404
0.735 0.331 0.901
```


# 7
BaSeN2 after structural relaxation. Source: the Alexandria database, functional PBE.

## Properties
- Symmetry: I-42d (122)
- Total magnetic moment: 0.0 Bohr magnetons per cell
- DFT total energy: -5.043 eV per atom
- E_form (uncorrected): 0.47 eV per atom
- Calculated volume: 318.3 Å³/cell

POSCAR file:
```
BaSeN2
1.0
5.687 0.000 0.000
0.000 5.687 0.000
0.000 0.000 9.841
Ba Se N
4 4 8
direct
0.000 0.000 0.000
0.000 0.500 0.250
0.500 0.000 0.750
0.500 0.500 0.500
0.000 0.000 0.500
0.000 0.500 0.750
0.500 0.000 0.250
0.500 0.500 0.000
0.146 0.250 0.625
0.250 0.646 0.875
0.250 0.854 0.375
0.354 0.250 0.125
0.646 0.750 0.125
0.750 0.146 0.375
0.750 0.354 0.875
0.854 0.750 0.625
```


# 8
Pr3Sn5Pd6 after structural relaxation. Source: the Alexandria database, functional PBE.

## Properties
- Symmetry: Pmmn (59)
- Total magnetic moment: 0.0 Bohr magnetons per cell
- Energy of formation from the pure elements: -796.8 meV/atom
- DFT total energy: -5.476 eV per atom
- Calculated volume: 619.3 Å³/cell

POSCAR file:
```
Pr3Sn5Pd6
1.0
4.531 0.000 0.000
0.000 14.016 0.000
0.000 0.000 9.752
Pr Sn Pd
6 10 12
direct
0.250 0.072 0.246
0.250 0.428 0.246
0.250 0.750 0.229
0.750 0.250 0.771
0.750 0.572 0.754
0.750 0.928 0.754
0.250 0.079 0.872
0.250 0.421 0.872
0.250 0.632 0.521
0.250 0.750 0.803
0.250 0.868 0.521
0.750 0.132 0.479
0.750 0.250 0.197
0.750 0.368 0.479
0.750 0.579 0.128
0.750 0.921 0.128
0.250 0.057 0.595
0.250 0.250 0.020
0.250 0.250 0.504
0.250 0.443 0.595
0.250 0.604 0.990
0.250 0.896 0.990
0.750 0.104 0.010
0.750 0.396 0.010
0.750 0.557 0.405
0.750 0.750 0.496
0.750 0.750 0.980
0.750 0.943 0.405
```


Look up the DFT total energy of the third one.
-4.729 eV per atom